Record 1
Computed, not measured: B3Ir2 after structural relaxation at the PBE-GGA level of DFT.

```
data_B3Ir2
_space_group_name_H-M_alt 'P 1'
_space_group_IT_number 1
_cell_length_a 5.469
_cell_length_b 5.469
_cell_length_c 6.201
_cell_angle_alpha 90.42
_cell_angle_beta 90.42
_cell_angle_gamma 33.33
loop_
_space_group_symop_operation_xyz
'x,y,z'
loop_
_atom_site_label
_atom_site_type_symbol
_atom_site_fract_x
_atom_site_fract_y
_atom_site_fract_z
B1 B 0.059 0.059 0.385
B2 B 0.239 0.239 0.073
B3 B 0.325 0.325 0.526
B4 B 0.675 0.675 0.474
B5 B 0.761 0.761 0.927
B6 B 0.941 0.941 0.615
Ir1 Ir 0.141 0.141 0.703
Ir2 Ir 0.399 0.399 0.852
Ir3 Ir 0.601 0.601 0.148
Ir4 Ir 0.859 0.859 0.297
```

Results
- SG: No. 12
- Electronic total energy: -7.640 eV/atom

=====

Record 2
Computed, not measured: TeMoW after structural relaxation at the PBE-GGA level of DFT.

```
data_TeMoW
_space_group_name_H-M_alt 'P 1'
_space_group_IT_number 1
_cell_length_a 4.408
_cell_length_b 4.408
_cell_length_c 4.408
_cell_angle_alpha 60.00
_cell_angle_beta 60.00
_cell_angle_gamma 60.00
loop_
_space_group_symop_operation_xyz
'x,y,z'
loop_
_atom_site_label
_atom_site_type_symbol
_atom_site_fract_x
_atom_site_fract_y
_atom_site_fract_z
Te1 Te 0.000 0.000 0.000
Mo1 Mo 0.250 0.250 0.250
W1 W 0.500 0.500 0.500
```

Results
- SG: No. 216
- Electronic total energy: -8.417 eV/atom
- Energy relative to the lowest polymorph listed for this composition: 0 meV/atom

=====

Record 3
Computed, not measured: HfAl3 after structural relaxation at the PBE-GGA level of DFT.

```
data_HfAl3
_space_group_name_H-M_alt 'P 1'
_space_group_IT_number 1
_cell_length_a 5.254
_cell_length_b 5.254
_cell_length_c 5.254
_cell_angle_alpha 135.91
_cell_angle_beta 135.91
_cell_angle_gamma 64.12
loop_
_space_group_symop_operation_xyz
'x,y,z'
loop_
_atom_site_label
_atom_site_type_symbol
_atom_site_fract_x
_atom_site_fract_y
_atom_site_fract_z
Hf1 Hf 0.000 0.000 0.000
Al1 Al 0.250 0.750 0.500
Al2 Al 0.500 0.500 0.000
Al3 Al 0.750 0.250 0.500
```

Results
- SG: No. 139
- Electronic total energy: -5.685 eV/atom

=====

Record 4
Computed, not measured: HfZrBiN after structural relaxation at the PBE-GGA level of DFT.

```
data_HfZrBiN
_space_group_name_H-M_alt 'P 1'
_space_group_IT_number 1
_cell_length_a 3.491
_cell_length_b 3.491
_cell_length_c 13.690
_cell_angle_alpha 90.00
_cell_angle_beta 90.00
_cell_angle_gamma 120.00
loop_
_space_group_symop_operation_xyz
'x,y,z'
loop_
_atom_site_label
_atom_site_type_symbol
_atom_site_fract_x
_atom_site_fract_y
_atom_site_fract_z
Hf1 Hf 0.000 0.000 0.169
Hf2 Hf 0.000 0.000 0.831
Zr1 Zr 0.333 0.667 0.330
Zr2 Zr 0.333 0.667 0.670
Bi1 Bi 0.000 0.000 0.500
Bi2 Bi 0.333 0.667 0.000
N1 N 0.667 0.333 0.243
N2 N 0.667 0.333 0.757
```

Results
- SG: No. 187
- Electronic total energy: -8.605 eV/atom
- Energy relative to the lowest polymorph listed for this composition: 0 meV/atom

=====

Record 5
Computed, not measured: YEr2Sn3IrPd2 after structural relaxation at the PBE-GGA level of DFT.

```
data_YEr2Sn3IrPd2
_space_group_name_H-M_alt 'P 1'
_space_group_IT_number 1
_cell_length_a 3.838
_cell_length_b 7.633
_cell_length_c 7.633
_cell_angle_alpha 120.09
_cell_angle_beta 90.00
_cell_angle_gamma 90.00
loop_
_space_group_symop_operation_xyz
'x,y,z'
loop_
_atom_site_label
_atom_site_type_symbol
_atom_site_fract_x
_atom_site_fract_y
_atom_site_fract_z
Y1 Y 0.000 0.000 0.000
Er1 Er 0.000 0.202 0.601
Er2 Er 0.000 0.601 0.202
Sn1 Sn 0.500 0.339 0.339
Sn2 Sn 0.500 0.601 0.862
Sn3 Sn 0.500 0.862 0.601
Ir1 Ir 0.000 0.598 0.598
Pd1 Pd 0.500 0.270 0.933
Pd2 Pd 0.500 0.933 0.270
```

Results
- SG: No. 38
- Electronic total energy: -6.121 eV/atom

=====

Record 6
Computed, not measured: Al2InRe2 after structural relaxation at the PBE-GGA level of DFT.

```
data_Al2InRe2
_space_group_name_H-M_alt 'P 1'
_space_group_IT_number 1
_cell_length_a 7.563
_cell_length_b 7.563
_cell_length_c 7.563
_cell_angle_alpha 140.87
_cell_angle_beta 140.87
_cell_angle_gamma 56.53
loop_
_space_group_symop_operation_xyz
'x,y,z'
loop_
_atom_site_label
_atom_site_type_symbol
_atom_site_fract_x
_atom_site_fract_y
_atom_site_fract_z
Al1 Al 0.072 0.322 0.750
Al2 Al 0.322 0.072 0.250
Al3 Al 0.678 0.928 0.750
Al4 Al 0.928 0.678 0.250
In1 In 0.125 0.875 0.250
In2 In 0.875 0.125 0.750
Re1 Re 0.000 0.500 0.500
Re2 Re 0.500 0.000 0.000
Re3 Re 0.500 0.500 0.000
Re4 Re 0.500 0.500 0.500
```

Results
- SG: No. 141
- Electronic total energy: -6.224 eV/atom